## a
First-principles (PBE) data for a relaxed structure of TcAsSe2Br, as listed in the Alexandria database.

Cell and atoms, written as CIF:
```
data_TcAsSe2Br
_space_group_name_H-M_alt 'P 1'
_space_group_IT_number 1
_cell_length_a 5.1140
_cell_length_b 5.1140
_cell_length_c 5.1032
_cell_angle_alpha 90.00
_cell_angle_beta 90.00
_cell_angle_gamma 90.00
loop_
_space_group_symop_operation_xyz
'x,y,z'
loop_
_atom_site_label
_atom_site_type_symbol
_atom_site_fract_x
_atom_site_fract_y
_atom_site_fract_z
_atom_site_occupancy
Tc1 Tc 0.0000 0.0000 0.0000 1
As1 As 0.5000 0.5000 0.0000 1
Se1 Se 0.0000 0.5000 0.5000 1
Se2 Se 0.5000 0.0000 0.5000 1
Br1 Br 0.5000 0.5000 0.5000 1
```

symmetry = P4/mmm, No. 123
calculated volume = 26.693 Å³/atom


## b
First-principles (PBE) data for a relaxed structure of TcAsSe2Br, as listed in the Alexandria database.

Cell and atoms, written as CIF:
```
data_TcAsSe2Br
_space_group_name_H-M_alt 'P 1'
_space_group_IT_number 1
_cell_length_a 5.1268
_cell_length_b 5.1268
_cell_length_c 5.0767
_cell_angle_alpha 90.00
_cell_angle_beta 90.00
_cell_angle_gamma 90.00
loop_
_space_group_symop_operation_xyz
'x,y,z'
loop_
_atom_site_label
_atom_site_type_symbol
_atom_site_fract_x
_atom_site_fract_y
_atom_site_fract_z
_atom_site_occupancy
Tc1 Tc 0.0000 0.0000 0.0000 1
As1 As 0.5000 0.5000 0.5000 1
Se1 Se 0.0000 0.5000 0.5000 1
Se2 Se 0.5000 0.0000 0.5000 1
Br1 Br 0.5000 0.5000 0.0000 1
```

symmetry = P4/mmm, No. 123
calculated volume = 26.687 Å³/atom


## c
First-principles (PBE) data for a relaxed structure of TcAsSe2Br, as listed in the Alexandria database.

Cell and atoms, written as CIF:
```
data_TcAsSe2Br
_space_group_name_H-M_alt 'P 1'
_space_group_IT_number 1
_cell_length_a 4.8104
_cell_length_b 4.8104
_cell_length_c 5.0667
_cell_angle_alpha 90.00
_cell_angle_beta 90.00
_cell_angle_gamma 90.00
loop_
_space_group_symop_operation_xyz
'x,y,z'
loop_
_atom_site_label
_atom_site_type_symbol
_atom_site_fract_x
_atom_site_fract_y
_atom_site_fract_z
_atom_site_occupancy
Tc1 Tc 0.0000 0.0000 0.0000 1
As1 As 0.0000 0.0000 0.5000 1
Se1 Se 0.0000 0.5000 0.0000 1
Se2 Se 0.5000 0.0000 0.0000 1
Br1 Br 0.5000 0.5000 0.5000 1
```

symmetry = P4/mmm, No. 123
calculated volume = 23.449 Å³/atom


Least stable of them? a.


## a
First-principles (PBE) data for a relaxed structure of TcAsSeBr2, as listed in the Alexandria database.

Cell and atoms, written as CIF:
```
data_TcAsSeBr2
_space_group_name_H-M_alt 'P 1'
_space_group_IT_number 1
_cell_length_a 5.1769
_cell_length_b 5.1769
_cell_length_c 5.3019
_cell_angle_alpha 90.00
_cell_angle_beta 90.00
_cell_angle_gamma 90.00
loop_
_space_group_symop_operation_xyz
'x,y,z'
loop_
_atom_site_label
_atom_site_type_symbol
_atom_site_fract_x
_atom_site_fract_y
_atom_site_fract_z
_atom_site_occupancy
Tc1 Tc 0.0000 0.0000 0.0000 1
As1 As 0.5000 0.5000 0.5000 1
Se1 Se 0.5000 0.5000 0.0000 1
Br1 Br 0.0000 0.5000 0.5000 1
Br2 Br 0.5000 0.0000 0.5000 1
```

symmetry = P4/mmm, No. 123
calculated volume = 28.419 Å³/atom


## b
First-principles (PBE) data for a relaxed structure of TcAsSeBr2, as listed in the Alexandria database.

Cell and atoms, written as CIF:
```
data_TcAsSeBr2
_space_group_name_H-M_alt 'P 1'
_space_group_IT_number 1
_cell_length_a 4.9658
_cell_length_b 4.9658
_cell_length_c 4.9201
_cell_angle_alpha 90.00
_cell_angle_beta 90.00
_cell_angle_gamma 90.00
loop_
_space_group_symop_operation_xyz
'x,y,z'
loop_
_atom_site_label
_atom_site_type_symbol
_atom_site_fract_x
_atom_site_fract_y
_atom_site_fract_z
_atom_site_occupancy
Tc1 Tc 0.0000 0.0000 0.0000 1
As1 As 0.0000 0.0000 0.5000 1
Se1 Se 0.5000 0.5000 0.5000 1
Br1 Br 0.0000 0.5000 0.0000 1
Br2 Br 0.5000 0.0000 0.0000 1
```

symmetry = P4/mmm, No. 123
calculated volume = 24.265 Å³/atom


Least stable of them? a.


## a
First-principles (PBE) data for a relaxed structure of TcAsSeBr2, as listed in the Alexandria database.

Cell and atoms, written as CIF:
```
data_TcAsSeBr2
_space_group_name_H-M_alt 'P 1'
_space_group_IT_number 1
_cell_length_a 5.0821
_cell_length_b 5.0821
_cell_length_c 4.7839
_cell_angle_alpha 90.00
_cell_angle_beta 90.00
_cell_angle_gamma 90.00
loop_
_space_group_symop_operation_xyz
'x,y,z'
loop_
_atom_site_label
_atom_site_type_symbol
_atom_site_fract_x
_atom_site_fract_y
_atom_site_fract_z
_atom_site_occupancy
Tc1 Tc 0.0000 0.0000 0.0000 1
As1 As 0.5000 0.5000 0.5000 1
Se1 Se 0.0000 0.0000 0.5000 1
Br1 Br 0.0000 0.5000 0.0000 1
Br2 Br 0.5000 0.0000 0.0000 1
```

symmetry = P4/mmm, No. 123
calculated volume = 24.711 Å³/atom


## b
First-principles (PBE) data for a relaxed structure of TcAsSeBr2, as listed in the Alexandria database.

Cell and atoms, written as CIF:
```
data_TcAsSeBr2
_space_group_name_H-M_alt 'P 1'
_space_group_IT_number 1
_cell_length_a 5.1419
_cell_length_b 5.1419
_cell_length_c 5.4227
_cell_angle_alpha 90.00
_cell_angle_beta 90.00
_cell_angle_gamma 90.00
loop_
_space_group_symop_operation_xyz
'x,y,z'
loop_
_atom_site_label
_atom_site_type_symbol
_atom_site_fract_x
_atom_site_fract_y
_atom_site_fract_z
_atom_site_occupancy
Tc1 Tc 0.0000 0.0000 0.0000 1
As1 As 0.5000 0.5000 0.0000 1
Se1 Se 0.5000 0.5000 0.5000 1
Br1 Br 0.0000 0.5000 0.5000 1
Br2 Br 0.5000 0.0000 0.5000 1
```

symmetry = P4/mmm, No. 123
calculated volume = 28.675 Å³/atom


Least stable of them? b.


## a
First-principles (PBE) data for a relaxed structure of TeAs2SeBr, as listed in the Alexandria database.

Cell and atoms, written as CIF:
```
data_TeAs2SeBr
_space_group_name_H-M_alt 'P 1'
_space_group_IT_number 1
_cell_length_a 5.2354
_cell_length_b 5.2354
_cell_length_c 4.9750
_cell_angle_alpha 90.00
_cell_angle_beta 90.00
_cell_angle_gamma 90.00
loop_
_space_group_symop_operation_xyz
'x,y,z'
loop_
_atom_site_label
_atom_site_type_symbol
_atom_site_fract_x
_atom_site_fract_y
_atom_site_fract_z
_atom_site_occupancy
Te1 Te 0.0000 0.0000 0.0000 1
As1 As 0.0000 0.5000 0.5000 1
As2 As 0.5000 0.0000 0.5000 1
Se1 Se 0.5000 0.5000 0.5000 1
Br1 Br 0.5000 0.5000 0.0000 1
```

symmetry = P4/mmm, No. 123
calculated volume = 27.272 Å³/atom


## b
First-principles (PBE) data for a relaxed structure of TeAs2SeBr, as listed in the Alexandria database.

Cell and atoms, written as CIF:
```
data_TeAs2SeBr
_space_group_name_H-M_alt 'P 1'
_space_group_IT_number 1
_cell_length_a 5.2434
_cell_length_b 5.2434
_cell_length_c 4.9410
_cell_angle_alpha 90.00
_cell_angle_beta 90.00
_cell_angle_gamma 90.00
loop_
_space_group_symop_operation_xyz
'x,y,z'
loop_
_atom_site_label
_atom_site_type_symbol
_atom_site_fract_x
_atom_site_fract_y
_atom_site_fract_z
_atom_site_occupancy
Te1 Te 0.0000 0.0000 0.0000 1
As1 As 0.0000 0.5000 0.5000 1
As2 As 0.5000 0.0000 0.5000 1
Se1 Se 0.5000 0.5000 0.0000 1
Br1 Br 0.5000 0.5000 0.5000 1
```

symmetry = P4/mmm, No. 123
calculated volume = 27.169 Å³/atom


Least stable of them? b.


## a
First-principles (PBE) data for a relaxed structure of TiAsSeBr2, as listed in the Alexandria database.

Cell and atoms, written as CIF:
```
data_TiAsSeBr2
_space_group_name_H-M_alt 'P 1'
_space_group_IT_number 1
_cell_length_a 5.1313
_cell_length_b 5.1313
_cell_length_c 5.3282
_cell_angle_alpha 90.00
_cell_angle_beta 90.00
_cell_angle_gamma 90.00
loop_
_space_group_symop_operation_xyz
'x,y,z'
loop_
_atom_site_label
_atom_site_type_symbol
_atom_site_fract_x
_atom_site_fract_y
_atom_site_fract_z
_atom_site_occupancy
Ti1 Ti 0.0000 0.0000 0.0000 1
As1 As 0.5000 0.5000 0.0000 1
Se1 Se 0.5000 0.5000 0.5000 1
Br1 Br 0.0000 0.5000 0.5000 1
Br2 Br 0.5000 0.0000 0.5000 1
```

symmetry = P4/mmm, No. 123
calculated volume = 28.059 Å³/atom


## b
First-principles (PBE) data for a relaxed structure of TiAsSeBr2, as listed in the Alexandria database.

Cell and atoms, written as CIF:
```
data_TiAsSeBr2
_space_group_name_H-M_alt 'P 1'
_space_group_IT_number 1
_cell_length_a 4.8312
_cell_length_b 4.8312
_cell_length_c 5.4567
_cell_angle_alpha 90.00
_cell_angle_beta 90.00
_cell_angle_gamma 90.00
loop_
_space_group_symop_operation_xyz
'x,y,z'
loop_
_atom_site_label
_atom_site_type_symbol
_atom_site_fract_x
_atom_site_fract_y
_atom_site_fract_z
_atom_site_occupancy
Ti1 Ti 0.0000 0.0000 0.0000 1
As1 As 0.0000 0.0000 0.5000 1
Se1 Se 0.5000 0.5000 0.5000 1
Br1 Br 0.0000 0.5000 0.0000 1
Br2 Br 0.5000 0.0000 0.0000 1
```

symmetry = P4/mmm, No. 123
calculated volume = 25.472 Å³/atom


## c
First-principles (PBE) data for a relaxed structure of TiAsSeBr2, as listed in the Alexandria database.

Cell and atoms, written as CIF:
```
data_TiAsSeBr2
_space_group_name_H-M_alt 'P 1'
_space_group_IT_number 1
_cell_length_a 5.1529
_cell_length_b 5.1529
_cell_length_c 5.2959
_cell_angle_alpha 90.00
_cell_angle_beta 90.00
_cell_angle_gamma 90.00
loop_
_space_group_symop_operation_xyz
'x,y,z'
loop_
_atom_site_label
_atom_site_type_symbol
_atom_site_fract_x
_atom_site_fract_y
_atom_site_fract_z
_atom_site_occupancy
Ti1 Ti 0.0000 0.0000 0.0000 1
As1 As 0.5000 0.5000 0.5000 1
Se1 Se 0.5000 0.5000 0.0000 1
Br1 Br 0.0000 0.5000 0.5000 1
Br2 Br 0.5000 0.0000 0.5000 1
```

symmetry = P4/mmm, No. 123
calculated volume = 28.123 Å³/atom


## d
First-principles (PBE) data for a relaxed structure of TiAsSeBr2, as listed in the Alexandria database.

Cell and atoms, written as CIF:
```
data_TiAsSeBr2
_space_group_name_H-M_alt 'P 1'
_space_group_IT_number 1
_cell_length_a 5.1252
_cell_length_b 5.1252
_cell_length_c 5.0727
_cell_angle_alpha 90.00
_cell_angle_beta 90.00
_cell_angle_gamma 90.00
loop_
_space_group_symop_operation_xyz
'x,y,z'
loop_
_atom_site_label
_atom_site_type_symbol
_atom_site_fract_x
_atom_site_fract_y
_atom_site_fract_z
_atom_site_occupancy
Ti1 Ti 0.0000 0.0000 0.0000 1
As1 As 0.5000 0.5000 0.5000 1
Se1 Se 0.0000 0.0000 0.5000 1
Br1 Br 0.0000 0.5000 0.0000 1
Br2 Br 0.5000 0.0000 0.0000 1
```

symmetry = P4/mmm, No. 123
calculated volume = 26.650 Å³/atom


Least stable of them? a.


## a
First-principles (PBE) data for a relaxed structure of TlAsSeBr2, as listed in the Alexandria database.

Cell and atoms, written as CIF:
```
data_TlAsSeBr2
_space_group_name_H-M_alt 'P 1'
_space_group_IT_number 1
_cell_length_a 5.5233
_cell_length_b 5.5233
_cell_length_c 5.6592
_cell_angle_alpha 90.00
_cell_angle_beta 90.00
_cell_angle_gamma 90.00
loop_
_space_group_symop_operation_xyz
'x,y,z'
loop_
_atom_site_label
_atom_site_type_symbol
_atom_site_fract_x
_atom_site_fract_y
_atom_site_fract_z
_atom_site_occupancy
Tl1 Tl 0.0000 0.0000 0.0000 1
As1 As 0.5000 0.5000 0.5000 1
Se1 Se 0.0000 0.0000 0.5000 1
Br1 Br 0.0000 0.5000 0.0000 1
Br2 Br 0.5000 0.0000 0.0000 1
```

symmetry = P4/mmm, No. 123
calculated volume = 34.529 Å³/atom


## b
First-principles (PBE) data for a relaxed structure of TlAsSeBr2, as listed in the Alexandria database.

Cell and atoms, written as CIF:
```
data_TlAsSeBr2
_space_group_name_H-M_alt 'P 1'
_space_group_IT_number 1
_cell_length_a 5.7351
_cell_length_b 5.7351
_cell_length_c 4.9914
_cell_angle_alpha 90.00
_cell_angle_beta 90.00
_cell_angle_gamma 90.00
loop_
_space_group_symop_operation_xyz
'x,y,z'
loop_
_atom_site_label
_atom_site_type_symbol
_atom_site_fract_x
_atom_site_fract_y
_atom_site_fract_z
_atom_site_occupancy
Tl1 Tl 0.0000 0.0000 0.0000 1
As1 As 0.5000 0.5000 0.0000 1
Se1 Se 0.5000 0.5000 0.5000 1
Br1 Br 0.0000 0.5000 0.5000 1
Br2 Br 0.5000 0.0000 0.5000 1
```

symmetry = P4/mmm, No. 123
calculated volume = 32.835 Å³/atom


Least stable of them? a.